(1)
A relaxed structure of Ho2VRu. Source: the Alexandria database, functional GGA-PBE.

Values from the calculation:
Space group: No. 166
VASP energy in eV/atom: -6.38
Magnetization in μB per formula unit: 2.6

a = 3.258 Å, b = 3.258 Å, c = 10.050 Å
α = 80.67°, β = 80.67°, γ = 60.00°
Site moments in Bohr magnetons follow the coordinates.
Fractional coordinates of all 4 atoms:
Ru (0.500, 0.500, 0.500)  0.02
Ho (0.097, 0.097, 0.709)  -0.03
Ho (0.903, 0.903, 0.291)  -0.03
V (0.000, 0.000, 0.000)  2.33

=====

(2)
A relaxed structure of HoRuW. Source: the Alexandria database, functional GGA-PBE.

Values from the calculation:
Space group: No. 92
VASP energy in eV/atom: -8.40
Magnetization in μB per formula unit: 0.0

a = 6.807 Å, b = 6.807 Å, c = 5.986 Å
α = 90.00°, β = 90.00°, γ = 90.00°
Fractional coordinates of all 12 atoms:
W (0.301, 0.301, 0.000)
W (0.699, 0.699, 0.500)
W (0.199, 0.801, 0.250)
W (0.801, 0.199, 0.750)
Ru (0.548, 0.452, 0.750)
Ru (0.952, 0.952, 0.500)
Ru (0.048, 0.048, 0.000)
Ru (0.452, 0.548, 0.250)
Ho (0.745, 0.255, 0.250)
Ho (0.755, 0.755, 0.000)
Ho (0.245, 0.245, 0.500)
Ho (0.255, 0.745, 0.750)

=====

(3)
A relaxed structure of YHo3Ru2. Source: the Alexandria database, functional GGA-PBE.

Values from the calculation:
Space group: No. 26
VASP energy in eV/atom: -6.81
Magnetization in μB per formula unit: 0.0

a = 4.310 Å, b = 7.504 Å, c = 8.820 Å
α = 90.00°, β = 90.00°, γ = 90.00°
Fractional coordinates of all 12 atoms:
Y (0.500, 0.519, 0.583)
Y (0.500, 0.019, 0.417)
Ho (0.000, 0.481, 0.916)
Ho (0.000, 0.981, 0.084)
Ho (0.500, 0.648, 0.181)
Ho (0.500, 0.148, 0.819)
Ho (0.000, 0.352, 0.317)
Ho (0.000, 0.852, 0.683)
Ru (0.500, 0.756, 0.866)
Ru (0.500, 0.256, 0.134)
Ru (0.000, 0.244, 0.636)
Ru (0.000, 0.744, 0.364)

=====

(4)
A relaxed structure of Y3HoRu4. Source: the Alexandria database, functional GGA-PBE.

Values from the calculation:
Space group: No. 123
VASP energy in eV/atom: -7.93
Magnetization in μB per formula unit: 0.0

a = 3.405 Å, b = 3.405 Å, c = 13.621 Å
α = 90.00°, β = 90.00°, γ = 90.00°
Fractional coordinates of all 8 atoms:
Y (0.500, 0.500, 0.249)
Y (0.500, 0.500, 0.500)
Y (0.500, 0.500, 0.751)
Ru (0.000, 0.000, 0.878)
Ru (0.000, 0.000, 0.122)
Ru (0.000, 0.000, 0.374)
Ru (0.000, 0.000, 0.626)
Ho (0.500, 0.500, 0.000)

=====

(5)
A relaxed structure of YHo2Ru2. Source: the Alexandria database, functional GGA-PBE.

Values from the calculation:
Space group: No. 11
VASP energy in eV/atom: -7.06
Magnetization in μB per formula unit: 0.0

a = 4.403 Å, b = 5.401 Å, c = 10.873 Å
α = 111.03°, β = 90.00°, γ = 90.00°
Fractional coordinates of all 10 atoms:
Y (0.250, 0.793, 0.222)
Y (0.750, 0.207, 0.778)
Ho (0.250, 0.778, 0.887)
Ho (0.750, 0.222, 0.113)
Ho (0.250, 0.280, 0.527)
Ho (0.750, 0.720, 0.473)
Ru (0.250, 0.893, 0.649)
Ru (0.750, 0.107, 0.351)
Ru (0.250, 0.322, 0.956)
Ru (0.750, 0.678, 0.044)

=====

(6)
A relaxed structure of YHo2Ru3. Source: the Alexandria database, functional GGA-PBE.

Values from the calculation:
Space group: No. 65
VASP energy in eV/atom: -7.57
Magnetization in μB per formula unit: 0.0

a = 3.404 Å, b = 4.790 Å, c = 7.577 Å
α = 108.43°, β = 90.00°, γ = 90.00°
Fractional coordinates of all 6 atoms:
Y (0.000, 0.000, 0.000)
Ho (0.000, 0.333, 0.666)
Ho (0.000, 0.667, 0.334)
Ru (0.500, 0.500, 0.000)
Ru (0.500, 0.831, 0.663)
Ru (0.500, 0.169, 0.337)

=====

(7)
A relaxed structure of Y3Ho2Ru2. Source: the Alexandria database, functional GGA-PBE.

Values from the calculation:
Space group: No. 12
VASP energy in eV/atom: -7.05
Magnetization in μB per formula unit: 0.0

a = 3.881 Å, b = 6.283 Å, c = 8.463 Å
α = 112.03°, β = 90.00°, γ = 107.99°
Fractional coordinates of all 7 atoms:
Y (0.500, 0.000, 0.000)
Y (0.621, 0.243, 0.429)
Y (0.379, 0.757, 0.571)
Ho (0.833, 0.667, 0.187)
Ho (0.167, 0.333, 0.813)
Ru (0.820, 0.639, 0.781)
Ru (0.180, 0.361, 0.219)

=====

(8)
A relaxed structure of Y2HoRu2. Source: the Alexandria database, functional GGA-PBE.

Values from the calculation:
Space group: No. 65
VASP energy in eV/atom: -7.52
Magnetization in μB per formula unit: 0.0

a = 3.374 Å, b = 3.397 Å, c = 10.386 Å
α = 80.59°, β = 90.00°, γ = 90.00°
Fractional coordinates of all 5 atoms:
Y (0.000, 0.164, 0.672)
Y (0.000, 0.836, 0.328)
Ho (0.000, 0.000, 0.000)
Ru (0.500, 0.414, 0.172)
Ru (0.500, 0.586, 0.828)

=====

(9)
A relaxed structure of Y2HoRu2. Source: the Alexandria database, functional GGA-PBE.

Values from the calculation:
Space group: No. 11
VASP energy in eV/atom: -7.43
Magnetization in μB per formula unit: 0.0

a = 4.393 Å, b = 5.493 Å, c = 10.976 Å
α = 112.69°, β = 90.00°, γ = 90.00°
Fractional coordinates of all 10 atoms:
Y (0.250, 0.775, 0.884)
Y (0.750, 0.225, 0.116)
Y (0.250, 0.281, 0.528)
Y (0.750, 0.719, 0.472)
Ho (0.250, 0.796, 0.216)
Ho (0.750, 0.204, 0.784)
Ru (0.250, 0.912, 0.655)
Ru (0.750, 0.088, 0.345)
Ru (0.250, 0.325, 0.955)
Ru (0.750, 0.675, 0.045)

=====

(10)
A relaxed structure of Y3HoRu3. Source: the Alexandria database, functional GGA-PBE.

Values from the calculation:
Space group: No. 160
VASP energy in eV/atom: -7.74
Magnetization in μB per formula unit: 0.0

a = 5.838 Å, b = 5.869 Å, c = 5.838 Å
α = 109.58°, β = 109.36°, γ = 109.58°
Fractional coordinates of all 7 atoms:
Y (0.414, 0.004, 0.000)
Y (0.586, 0.589, 0.586)
Y (0.000, 0.004, 0.414)
Ho (0.000, 0.419, 0.000)
Ru (0.499, 0.503, 0.000)
Ru (0.501, 0.004, 0.501)
Ru (0.000, 0.503, 0.499)

=====

(11)
A relaxed structure of YHo3Ru3. Source: the Alexandria database, functional GGA-PBE.

Values from the calculation:
Space group: No. 160
VASP energy in eV/atom: -7.23
Magnetization in μB per formula unit: 0.0

a = 5.829 Å, b = 5.800 Å, c = 5.829 Å
α = 109.37°, β = 109.57°, γ = 109.37°
Fractional coordinates of all 7 atoms:
Y (0.000, 0.417, 0.000)
Ho (0.414, 0.004, 0.000)
Ho (0.586, 0.589, 0.586)
Ho (0.000, 0.004, 0.414)
Ru (0.501, 0.504, 0.000)
Ru (0.499, 0.003, 0.499)
Ru (0.000, 0.504, 0.501)

=====

(12)
A relaxed structure of YHo2Ru2. Source: the Alexandria database, functional GGA-PBE.

Values from the calculation:
Space group: No. 65
VASP energy in eV/atom: -7.15
Magnetization in μB per formula unit: 0.0

a = 3.373 Å, b = 3.398 Å, c = 10.305 Å
α = 80.51°, β = 90.00°, γ = 90.00°
Fractional coordinates of all 5 atoms:
Y (0.000, 0.000, 0.000)
Ho (0.000, 0.166, 0.669)
Ho (0.000, 0.834, 0.331)
Ru (0.500, 0.410, 0.179)
Ru (0.500, 0.590, 0.821)

=====

Density of states at the Fermi level for every record listed, in sequence, given in states/eV/cell: 4.5; 8.1; 4.6; 10.6; 8.4; 6.8; 5.6; 2.9; 7.9; 3.2; 2.8; 3.3.